# 1
The following is a GGA-PBE calculation of a relaxed structure of TaVBi2, from Alexandria via LeMat-Bulk.

Calculated values
DOS(E_F) (states/eV/f.u.): 5.55
SG: Fm-3m (225)
Volume (Å³/f.u.): 86
ΔE_f (eV/atom): 0.58

Cell lengths 4.962, 4.962, 4.962 Å; angles 60.00, 60.00, 60.00 degrees
Sites, in units of the cell vectors:
Ta (0.500, 0.500, 0.500)
Bi (0.250, 0.250, 0.250)
Bi (0.750, 0.750, 0.750)
V (0.000, 0.000, 0.000)

---

# 2
The following is a GGA-PBE calculation of a relaxed structure of TaVBi3, from Alexandria via LeMat-Bulk.

Calculated values
DOS(E_F) (states/eV/f.u.): 11.41
SG: Pm-3m (221)
Volume (Å³/f.u.): 144
ΔE_f (eV/atom): 1.22

Cell lengths 5.244, 5.244, 5.244 Å; angles 90.00, 90.00, 90.00 degrees
Sites, in units of the cell vectors:
Ta (0.500, 0.500, 0.500)
Bi (0.000, 0.500, 0.000)
Bi (0.000, 0.000, 0.500)
Bi (0.500, 0.000, 0.000)
V (0.000, 0.000, 0.000)

---

# 3
The following is a GGA-PBE calculation of a relaxed structure of Ta3BiW, from Alexandria via LeMat-Bulk.

Calculated values
DOS(E_F) (states/eV/f.u.): 2.87
SG: Pm-3m (221)
Volume (Å³/f.u.): 121
ΔE_f (eV/atom): 1.32

Cell lengths 4.941, 4.941, 4.941 Å; angles 90.00, 90.00, 90.00 degrees
Sites, in units of the cell vectors:
Bi (0.500, 0.500, 0.500)
W (0.000, 0.000, 0.000)
Ta (0.000, 0.500, 0.000)
Ta (0.000, 0.000, 0.500)
Ta (0.500, 0.000, 0.000)

---

# 4
The following is a GGA-PBE calculation of a relaxed structure of Ta2BiW2, from Alexandria via LeMat-Bulk.

Calculated values
DOS(E_F) (states/eV/f.u.): 4.72
SG: I4/mmm (139)
Volume (Å³/f.u.): 105
ΔE_f (eV/atom): 0.78

Cell lengths 3.715, 3.715, 8.043 Å; angles 76.65, 76.65, 90.00 degrees
Sites, in units of the cell vectors:
Bi (0.000, 0.000, 0.000)
W (0.750, 0.250, 0.500)
W (0.250, 0.750, 0.500)
Ta (0.388, 0.388, 0.225)
Ta (0.612, 0.612, 0.775)

---

# 5
The following is a GGA-PBE calculation of a relaxed structure of TaBi2W, from Alexandria via LeMat-Bulk.

Calculated values
DOS(E_F) (states/eV/f.u.): 6.87
SG: Fm-3m (225)
Volume (Å³/f.u.): 84
ΔE_f (eV/atom): 0.92

Cell lengths 4.922, 4.922, 4.922 Å; angles 60.00, 60.00, 60.00 degrees
Sites, in units of the cell vectors:
Bi (0.250, 0.250, 0.250)
Bi (0.750, 0.750, 0.750)
W (0.500, 0.500, 0.500)
Ta (0.000, 0.000, 0.000)

---

# 6
The following is a GGA-PBE calculation of a relaxed structure of Ta3BiW, from Alexandria via LeMat-Bulk.

Calculated values
DOS(E_F) (states/eV/f.u.): 7.87
SG: Pm-3m (221)
Volume (Å³/f.u.): 126
ΔE_f (eV/atom): 2.80

Cell lengths 5.009, 5.009, 5.009 Å; angles 90.00, 90.00, 90.00 degrees
Sites, in units of the cell vectors:
Bi (0.000, 0.000, 0.000)
W (0.500, 0.500, 0.500)
Ta (0.000, 0.500, 0.000)
Ta (0.000, 0.000, 0.500)
Ta (0.500, 0.000, 0.000)

---

# 7
The following is a GGA-PBE calculation of a relaxed structure of Ta2BiW2, from Alexandria via LeMat-Bulk.

Calculated values
DOS(E_F) (states/eV/f.u.): 6.84
SG: P4/mbm (127)
Volume (Å³/f.u.): 102
ΔE_f (eV/atom): 0.76

Cell lengths 8.408, 8.408, 2.883 Å; angles 90.00, 90.00, 90.00 degrees
Sites, in units of the cell vectors:
Bi (0.000, 0.000, 0.000)
Bi (0.500, 0.500, 0.000)
W (0.148, 0.648, 0.500)
W (0.648, 0.852, 0.500)
W (0.852, 0.352, 0.500)
W (0.352, 0.148, 0.500)
Ta (0.357, 0.857, 0.000)
Ta (0.857, 0.643, 0.000)
Ta (0.643, 0.143, 0.000)
Ta (0.143, 0.357, 0.000)

---

# 8
The following is a GGA-PBE calculation of a relaxed structure of TaBi2W, from Alexandria via LeMat-Bulk.

Calculated values
DOS(E_F) (states/eV/f.u.): 5.12
SG: I-42d (122)
Volume (Å³/f.u.): 98
ΔE_f (eV/atom): 1.44

Cell lengths 8.089, 8.089, 6.458 Å; angles 51.22, 51.22, 90.00 degrees
Sites, in units of the cell vectors:
Bi (0.637, 0.125, 0.250)
Bi (0.113, 0.625, 0.250)
Bi (0.375, 0.363, 0.750)
Bi (0.875, 0.887, 0.750)
W (0.000, 0.000, 0.000)
W (0.750, 0.250, 0.500)
Ta (0.500, 0.500, 0.000)
Ta (0.250, 0.750, 0.500)

---

# 9
The following is a GGA-PBE calculation of a relaxed structure of YTaBiW2, from Alexandria via LeMat-Bulk.

Calculated values
DOS(E_F) (states/eV/f.u.): 7.35
SG: P4/mmm (123)
Volume (Å³/f.u.): 123
ΔE_f (eV/atom): 2.61

Cell lengths 4.918, 5.073, 4.918 Å; angles 90.00, 90.00, 90.00 degrees
Sites, in units of the cell vectors:
Y (0.000, 0.000, 0.000)
Bi (0.500, 0.500, 0.500)
W (0.000, 0.000, 0.500)
W (0.500, 0.000, 0.000)
Ta (0.000, 0.500, 0.000)

---

# 10
The following is a GGA-PBE calculation of a relaxed structure of TaZn2BiW, from Alexandria via LeMat-Bulk.

Calculated values
DOS(E_F) (states/eV/f.u.): 3.20
SG: P4/mmm (123)
Volume (Å³/f.u.): 130
ΔE_f (eV/atom): 2.23

Cell lengths 4.908, 5.400, 4.908 Å; angles 90.00, 90.00, 90.00 degrees
Sites, in units of the cell vectors:
Zn (0.000, 0.000, 0.500)
Zn (0.500, 0.000, 0.000)
Bi (0.000, 0.000, 0.000)
W (0.500, 0.500, 0.500)
Ta (0.000, 0.500, 0.000)

---

# 11
The following is a GGA-PBE calculation of a relaxed structure of Y3TaBi, from Alexandria via LeMat-Bulk.

Calculated values
DOS(E_F) (states/eV/f.u.): 8.94
SG: Pm-3m (221)
Volume (Å³/f.u.): 183
ΔE_f (eV/atom): 1.00

Cell lengths 5.676, 5.676, 5.676 Å; angles 90.00, 90.00, 90.00 degrees
Sites, in units of the cell vectors:
Y (0.000, 0.500, 0.000)
Y (0.000, 0.000, 0.500)
Y (0.500, 0.000, 0.000)
Bi (0.000, 0.000, 0.000)
Ta (0.500, 0.500, 0.500)

---

# 12
The following is a GGA-PBE calculation of a relaxed structure of Y2TaBi, from Alexandria via LeMat-Bulk.

Calculated values
DOS(E_F) (states/eV/f.u.): 6.91
SG: I-42d (122)
Volume (Å³/f.u.): 110
ΔE_f (eV/atom): 0.51

Cell lengths 8.410, 8.410, 6.715 Å; angles 51.23, 51.23, 90.00 degrees
Sites, in units of the cell vectors:
Y (0.615, 0.125, 0.250)
Y (0.135, 0.625, 0.250)
Y (0.375, 0.385, 0.750)
Y (0.875, 0.865, 0.750)
Bi (0.000, 0.000, 0.000)
Bi (0.750, 0.250, 0.500)
Ta (0.500, 0.500, 0.000)
Ta (0.250, 0.750, 0.500)

---

Summary of calculated density in Mg/m³
12.5; 9.9; 12.9; 14.9; 15.4; 12.4; 15.3; 13.3; 11.5; 9.0; 6.0; 8.5
(order as listed above)